# TaNi2TePd, optimized geometry, DFT GGA-PBEsol
data_TaNi2TePd
_symmetry_space_group_name_H-M 'P 4/m m m'
_symmetry_Int_Tables_number 123
_symmetry_space_group_name_Hall '-P 4 2'
_cell_length_a 4.521
_cell_length_b 4.521
_cell_length_c 4.837
_cell_angle_alpha 90.00
_cell_angle_beta 90.00
_cell_angle_gamma 90.00
loop_
_atom_site_label
_atom_site_fract_x
_atom_site_fract_y
_atom_site_fract_z
_atom_site_occupancy
Ta1 0.000 0.000 0.000 1
Ni1 0.000 0.500 0.000 1
Te1 0.500 0.500 0.500 1
Pd1 0.000 0.000 0.500 1
# Crystal system   tetragonal
# VASP energy   -5.777 eV per atom